[1]
The following is a PBE calculation of crystalline Pt2PbCl at its relaxed geometry, from Alexandria.

```
Pt2PbCl
1.0
0.0000 3.4084 3.4084
3.4084 0.0000 3.4084
3.4084 3.4084 0.0000
Pt Pb Cl
2 1 1
direct
0.0000 0.0000 0.0000
0.2500 0.2500 0.2500
0.7500 0.7500 0.7500
0.5000 0.5000 0.5000
```

Properties
* raw formation energy: 0.300 eV/atom

=====

[2]
The following is a PBE calculation of crystalline BaCrPb at its relaxed geometry, from Alexandria.

```
BaCrPb
1.0
0.0000 3.9113 3.9113
3.9113 0.0000 3.9113
3.9113 3.9113 0.0000
Ba Cr Pb
1 1 1
direct
0.0000 0.0000 0.0000
0.2500 0.2500 0.2500
0.7500 0.7500 0.7500
```

Properties
* E: -4.29 eV per atom

=====

[3]
The following is a PBE calculation of crystalline Mn2ZnSi at its relaxed geometry, from Alexandria.

```
Mn2ZnSi
1.0
-1.4416 2.0080 4.1331
1.4416 -2.0080 4.1331
1.4416 2.0080 -4.1331
Mn Zn Si
2 1 1
direct
0.0000 0.0000 0.0000
0.7633 0.2633 0.5000
0.5008 0.5008 0.0000
0.2378 0.7378 0.5000
```

Properties
* raw formation energy: 0.006 eV/atom

=====

[4]
The following is a PBE calculation of crystalline Tb4HfRh5 at its relaxed geometry, from Alexandria.

```
Tb4HfRh5
1.0
3.3667 0.0000 0.0000
0.0000 3.3667 0.0000
0.0000 0.0000 17.4689
Tb Hf Rh
4 1 5
direct
0.0000 0.0000 0.1016
0.0000 0.0000 0.3043
0.0000 0.0000 0.6957
0.0000 0.0000 0.8984
0.0000 0.0000 0.5000
0.5000 0.5000 0.0000
0.5000 0.5000 0.2043
0.5000 0.5000 0.4136
0.5000 0.5000 0.5864
0.5000 0.5000 0.7957
```

Properties
* E: -7.38 eV per atom

=====

[5]
The following is a PBE calculation of crystalline KZr2Hg at its relaxed geometry, from Alexandria.

```
KZr2Hg
1.0
3.1260 -5.5904 0.0000
3.1260 5.5904 0.0000
0.0000 0.0000 2.9405
K Zr Hg
1 2 1
direct
0.0000 0.0000 0.0000
0.0000 0.5000 0.5000
0.5000 0.0000 0.5000
0.5000 0.5000 0.0000
```

Properties
* E: -3.96 eV per atom

=====

[6]
The following is a PBE calculation of crystalline YHo3Pu3Te8 at its relaxed geometry, from Alexandria.

```
YHo3Pu3Te8
1.0
4.3677 2.5217 7.1699
-4.3677 2.5217 7.1699
0.0000 -5.0434 7.1699
Y Ho Pu Te
1 3 3 8
direct
0.0000 0.0000 0.0000
0.0000 0.5000 0.5000
0.5000 0.0000 0.5000
0.5000 0.5000 0.0000
0.0000 0.0000 0.5000
0.0000 0.5000 0.0000
0.5000 0.0000 0.0000
0.2518 0.2518 0.2518
0.2532 0.2532 0.7415
0.2532 0.7415 0.2532
0.2585 0.7468 0.7468
0.7415 0.2532 0.2532
0.7468 0.2585 0.7468
0.7468 0.7468 0.2585
0.7482 0.7482 0.7482
```

Properties
* raw formation energy: -1.266 eV/atom

=====

[7]
The following is a PBE calculation of crystalline Na7TlHg4 at its relaxed geometry, from Alexandria.

```
Na7TlHg4
1.0
5.3660 0.0000 0.0000
-2.6830 4.6471 0.0000
0.0000 0.0000 13.4365
Na Tl Hg
7 1 4
direct
0.0000 0.0000 0.0000
0.0000 0.0000 0.2557
0.0000 0.0000 0.7443
0.3333 0.6667 0.1067
0.3333 0.6667 0.4001
0.6667 0.3333 0.5999
0.6667 0.3333 0.8933
0.0000 0.0000 0.5000
0.3333 0.6667 0.6338
0.3333 0.6667 0.8598
0.6667 0.3333 0.1402
0.6667 0.3333 0.3662
```

Properties
* E: -1.25 eV per atom

=====

[8]
The following is a PBE calculation of crystalline BaY2Tl at its relaxed geometry, from Alexandria.

```
BaY2Tl
1.0
1.8969 1.0952 11.5765
-1.8969 1.0952 11.5765
0.0000 -2.1904 11.5765
Ba Y Tl
1 2 1
direct
0.0000 0.0000 0.0000
0.5125 0.5125 0.5125
0.7658 0.7658 0.7658
0.2507 0.2507 0.2507
```

Properties
* E: -4.30 eV per atom

=====

[9]
The following is a PBE calculation of crystalline Ca2ScOs at its relaxed geometry, from Alexandria.

```
Ca2ScOs
1.0
-2.5016 2.5016 3.5668
2.5016 -2.5016 3.5668
2.5016 2.5016 -3.5668
Ca Sc Os
2 1 1
direct
0.0000 0.0000 0.0000
0.7500 0.2500 0.5000
0.5000 0.5000 0.0000
0.2500 0.7500 0.5000
```

Properties
* E: -5.12 eV per atom

=====

[10]
The following is a PBE calculation of crystalline Sr5Ca at its relaxed geometry, from Alexandria.

```
Sr5Ca
1.0
4.7304 0.0000 0.0000
0.0000 4.7304 0.0000
0.0000 0.0000 13.8669
Sr Ca
5 1
direct
0.0000 0.0000 0.0000
0.0000 0.0000 0.3442
0.0000 0.0000 0.6558
0.5000 0.5000 0.1720
0.5000 0.5000 0.8280
0.5000 0.5000 0.5000
```

Properties
* E: -1.72 eV per atom

=====

[11]
The following is a PBE calculation of crystalline PuMgFeTc at its relaxed geometry, from Alexandria.

```
PuMgFeTc
1.0
0.0000 3.2133 3.2133
3.2133 0.0000 3.2133
3.2133 3.2133 0.0000
Pu Mg Fe Tc
1 1 1 1
direct
0.0000 0.0000 0.0000
0.5000 0.5000 0.5000
0.2500 0.2500 0.2500
0.7500 0.7500 0.7500
```

Properties
* E: -8.59 eV per atom

=====

[12]
The following is a PBE calculation of crystalline TmScCu2 at its relaxed geometry, from Alexandria.

```
TmScCu2
1.0
4.7445 0.0000 0.0000
0.0000 3.3169 0.0000
0.0000 0.0000 9.4627
Tm Sc Cu
2 2 4
direct
0.2500 0.0000 0.1282
0.7500 0.0000 0.8718
0.2500 0.0000 0.6207
0.7500 0.0000 0.3793
0.2500 0.5000 0.3835
0.2500 0.5000 0.8632
0.7500 0.5000 0.1368
0.7500 0.5000 0.6165
```

Properties
* E: -5.02 eV per atom